The following is a PBE calculation of an optimized crystal structure of AgGeSe2Br, from the Alexandria database.

Computed properties:
V = 134 Å³/cell
electronic total energy = -13.80 eV per cell
ΔE to the lowest computed polymorph = 183 meV/atom
uncorrected formation energy = 0.46 eV/atom

The structure in CIF format:
```
data_AgGeSe2Br
_chemical_formula_sum 'Ag1 Ge1 Se2 Br1'
_space_group_name_H-M_alt 'P 4/m m m'
_space_group_IT_number 123
_space_group_name_Hall '-P 4 2'
_cell_length_a 5.109
_cell_length_b 5.109
_cell_length_c 5.127
_cell_angle_alpha 90.00
_cell_angle_beta 90.00
_cell_angle_gamma 90.00
loop_
_atom_site_label
_atom_site_type_symbol
_atom_site_fract_x
_atom_site_fract_y
_atom_site_fract_z
_atom_site_occupancy
Ag1 Ag 0.000 0.000 0.000 1
Ge1 Ge 0.500 0.500 0.500 1
Se1 Se 0.000 0.500 0.000 1
Br1 Br 0.000 0.000 0.500 1
```

The following is a PBE calculation of an optimized crystal structure of CsLaBe3, from the Alexandria database.

Computed properties:
V = 186 Å³/cell
electronic total energy = -9.50 eV per cell
ΔE to the lowest computed polymorph = 0 meV/atom
DFT formation energy = 7.46 eV per formula unit

The structure in CIF format:
```
data_CsLaBe3
_chemical_formula_sum 'Cs1 La1 Be3'
_space_group_name_H-M_alt 'P m -3 m'
_space_group_IT_number 221
_space_group_name_Hall '-P 4 2 3'
_cell_length_a 5.712
_cell_length_b 5.712
_cell_length_c 5.712
_cell_angle_alpha 90.00
_cell_angle_beta 90.00
_cell_angle_gamma 90.00
loop_
_atom_site_label
_atom_site_type_symbol
_atom_site_fract_x
_atom_site_fract_y
_atom_site_fract_z
_atom_site_occupancy
Cs1 Cs 0.000 0.000 0.000 1
La1 La 0.500 0.500 0.500 1
Be1 Be 0.000 0.500 0.500 1
```

The following is a PBE calculation of an optimized crystal structure of Ce3Tm3CuS8, from the Alexandria database.

Computed properties:
V = 1009 Å³/cell
electronic total energy = -285.23 eV per cell
uncorrected formation energy = -1.78 eV/atom

The structure in CIF format:
```
data_Ce3Tm3CuS8
_chemical_formula_sum 'Ce9 Tm9 Cu3 S24'
_space_group_name_H-M_alt 'R -3 m'
_space_group_IT_number 166
_space_group_name_Hall '-R 3 2"'
_cell_length_a 7.7733
_cell_length_b 7.7733
_cell_length_c 19.2930
_cell_angle_alpha 90.00
_cell_angle_beta 90.00
_cell_angle_gamma 120.00
loop_
_atom_site_label
_atom_site_type_symbol
_atom_site_fract_x
_atom_site_fract_y
_atom_site_fract_z
_atom_site_occupancy
Ce1 Ce 0.0000 0.5000 0.0000 1
Tm1 Tm 0.0000 0.5000 0.5000 1
Cu1 Cu 0.0000 0.0000 0.5000 1
S1 S 0.0000 0.0000 0.2445 1
S2 S 0.0021 0.5011 0.2446 1
```

The following is a PBE calculation of an optimized crystal structure of EuTl2Ge, from the Alexandria database.

Computed properties:
V = 372 Å³/cell
electronic total energy = -56.80 eV per cell
ΔE to the lowest computed polymorph = 432 meV/atom
DFT formation energy = 0.69 eV per formula unit

The structure in CIF format:
```
data_EuTl2Ge
_chemical_formula_sum 'Eu3 Tl6 Ge3'
_space_group_name_H-M_alt 'R -3 m'
_space_group_IT_number 166
_space_group_name_Hall '-R 3 2"'
_cell_length_a 3.5797
_cell_length_b 3.5797
_cell_length_c 33.5510
_cell_angle_alpha 90.00
_cell_angle_beta 90.00
_cell_angle_gamma 120.00
loop_
_atom_site_label
_atom_site_type_symbol
_atom_site_fract_x
_atom_site_fract_y
_atom_site_fract_z
_atom_site_occupancy
Eu1 Eu 0.0000 0.0000 0.0000 1
Tl1 Tl 0.0000 0.0000 0.0974 1
Ge1 Ge 0.0000 0.0000 0.5000 1
```

Question: Look up the electronic total energy of the fourth one.
Answer: -56.80 eV per cell